First-principles (SCAN) data for a crystal of TbNb6Sn6 relaxed with PBEsol, as listed in the Alexandria database.

CIF file:
```
data_TbNb6Sn6
_chemical_formula_sum 'Tb1 Nb6 Sn6'
_space_group_name_H-M_alt 'P 6/m m m'
_space_group_IT_number 191
_space_group_name_Hall '-P 6 2'
_cell_length_a 5.7340
_cell_length_b 5.7340
_cell_length_c 9.5134
_cell_angle_alpha 90.00
_cell_angle_beta 90.00
_cell_angle_gamma 120.00
loop_
_atom_site_label
_atom_site_type_symbol
_atom_site_fract_x
_atom_site_fract_y
_atom_site_fract_z
_atom_site_occupancy
Tb1 Tb 0.0000 0.0000 0.0000 1
Nb1 Nb 0.0000 0.5000 0.2495 1
Sn1 Sn 0.0000 0.0000 0.3278 1
Sn2 Sn 0.3333 0.6667 0.0000 1
Sn3 Sn 0.3333 0.6667 0.5000 1
```

- Density of states at the Fermi level: 3.07 states/eV per cell
- V: 20.8 A^3/atom
- Formation enthalpy at 0 K: -414.3 meV per atom

---

First-principles (SCAN) data for a crystal of Li3Tl2 relaxed with PBEsol, as listed in the Alexandria database.

CIF file:
```
data_Li3Tl2
_chemical_formula_sum 'Li3 Tl2'
_space_group_name_H-M_alt 'P -3 m 1'
_space_group_IT_number 164
_space_group_name_Hall '-P 3 2"'
_cell_length_a 4.6602
_cell_length_b 4.6602
_cell_length_c 5.8008
_cell_angle_alpha 90.00
_cell_angle_beta 90.00
_cell_angle_gamma 120.00
loop_
_atom_site_label
_atom_site_type_symbol
_atom_site_fract_x
_atom_site_fract_y
_atom_site_fract_z
_atom_site_occupancy
Li1 Li 0.0000 0.0000 0.0000 1
Li2 Li 0.3333 0.6667 0.3560 1
Tl1 Tl 0.3333 0.6667 0.8484 1
```

- Density of states at the Fermi level: 1.32 states/eV per cell
- V: 21.8 A^3/atom
- Formation enthalpy at 0 K: -303.6 meV per atom

---

First-principles (SCAN) data for a crystal of LiW2Se relaxed with PBEsol, as listed in the Alexandria database.

CIF file:
```
data_LiW2Se
_chemical_formula_sum 'Li2 W4 Se2'
_space_group_name_H-M_alt 'C m m m'
_space_group_IT_number 65
_space_group_name_Hall '-C 2 2'
_cell_length_a 3.035
_cell_length_b 4.534
_cell_length_c 9.314
_cell_angle_alpha 90.00
_cell_angle_beta 90.00
_cell_angle_gamma 90.00
loop_
_atom_site_label
_atom_site_type_symbol
_atom_site_fract_x
_atom_site_fract_y
_atom_site_fract_z
_atom_site_occupancy
Li1 Li 0.000 0.000 0.000 1
W1 W 0.000 0.500 0.259 1
Se1 Se 0.000 0.000 0.500 1
```

- Density of states at the Fermi level: 5.08 states/eV per cell
- V: 16.0 A^3/atom
- Raw formation energy: 900 meV/atom

---

First-principles (SCAN) data for a crystal of LiPb3W relaxed with PBEsol, as listed in the Alexandria database.

CIF file:
```
data_LiPb3W
_chemical_formula_sum 'Li1 Pb3 W1'
_space_group_name_H-M_alt 'P m -3 m'
_space_group_IT_number 221
_space_group_name_Hall '-P 4 2 3'
_cell_length_a 5.386
_cell_length_b 5.386
_cell_length_c 5.386
_cell_angle_alpha 90.00
_cell_angle_beta 90.00
_cell_angle_gamma 90.00
loop_
_atom_site_label
_atom_site_type_symbol
_atom_site_fract_x
_atom_site_fract_y
_atom_site_fract_z
_atom_site_occupancy
Li1 Li 0.000 0.000 0.000 1
Pb1 Pb 0.000 0.500 0.500 1
W1 W 0.500 0.500 0.500 1
```

- Density of states at the Fermi level: 1.64 states/eV per cell
- V: 31.2 A^3/atom
- E above lowest polymorph: 0 meV per atom
- Formation enthalpy at 0 K: 490.8 meV per atom

---

First-principles (SCAN) data for a crystal of Ba2LiAu2 relaxed with PBEsol, as listed in the Alexandria database.

CIF file:
```
data_Ba2LiAu2
_chemical_formula_sum 'Ba4 Li2 Au4'
_space_group_name_H-M_alt 'P 4/m b m'
_space_group_IT_number 127
_space_group_name_Hall '-P 4 2ab'
_cell_length_a 8.339
_cell_length_b 8.339
_cell_length_c 4.459
_cell_angle_alpha 90.00
_cell_angle_beta 90.00
_cell_angle_gamma 90.00
loop_
_atom_site_label
_atom_site_type_symbol
_atom_site_fract_x
_atom_site_fract_y
_atom_site_fract_z
_atom_site_occupancy
Ba1 Ba 0.172 0.328 0.000 1
Li1 Li 0.000 0.000 0.500 1
Au1 Au 0.125 0.625 0.500 1
```

- Density of states at the Fermi level: 5.40 states/eV per cell
- V: 31.0 A^3/atom
- Formation enthalpy at 0 K: -689.5 meV per atom

---

First-principles (SCAN) data for a crystal of TaAlAu relaxed with PBEsol, as listed in the Alexandria database.

CIF file:
```
data_TaAlAu
_chemical_formula_sum 'Ta2 Al2 Au2'
_space_group_name_H-M_alt 'I 4 m m'
_space_group_IT_number 107
_space_group_name_Hall 'I 4 -2'
_cell_length_a 2.945
_cell_length_b 2.945
_cell_length_c 11.222
_cell_angle_alpha 90.00
_cell_angle_beta 90.00
_cell_angle_gamma 90.00
loop_
_atom_site_label
_atom_site_type_symbol
_atom_site_fract_x
_atom_site_fract_y
_atom_site_fract_z
_atom_site_occupancy
Ta1 Ta 0.000 0.000 0.000 1
Al1 Al 0.000 0.000 0.667 1
Au1 Au 0.000 0.000 0.321 1
```

- Density of states at the Fermi level: 3.27 states/eV per cell
- V: 16.2 A^3/atom
- Formation enthalpy at 0 K: -351.4 meV per atom

---

First-principles (SCAN) data for a crystal of K2YRe relaxed with PBEsol, as listed in the Alexandria database.

CIF file:
```
data_K2YRe
_chemical_formula_sum 'K8 Y4 Re4'
_space_group_name_H-M_alt 'F m -3 m'
_space_group_IT_number 225
_space_group_name_Hall '-F 4 2 3'
_cell_length_a 7.739
_cell_length_b 7.739
_cell_length_c 7.739
_cell_angle_alpha 90.00
_cell_angle_beta 90.00
_cell_angle_gamma 90.00
loop_
_atom_site_label
_atom_site_type_symbol
_atom_site_fract_x
_atom_site_fract_y
_atom_site_fract_z
_atom_site_occupancy
K1 K 0.250 0.250 0.250 1
Y1 Y 0.000 0.000 0.000 1
Re1 Re 0.000 0.000 0.500 1
```

- Density of states at the Fermi level: 8.39 states/eV per cell
- V: 29.0 A^3/atom
- E above lowest polymorph: 540 meV per atom
- Formation enthalpy at 0 K: 1748.5 meV per atom

---

First-principles (SCAN) data for a crystal of Dy3Pt relaxed with PBEsol, as listed in the Alexandria database.

CIF file:
```
data_Dy3Pt
_chemical_formula_sum 'Dy12 Pt4'
_space_group_name_H-M_alt 'P n m a'
_space_group_IT_number 62
_space_group_name_Hall '-P 2ac 2n'
_cell_length_a 6.923
_cell_length_b 9.395
_cell_length_c 6.383
_cell_angle_alpha 90.00
_cell_angle_beta 90.00
_cell_angle_gamma 90.00
loop_
_atom_site_label
_atom_site_type_symbol
_atom_site_fract_x
_atom_site_fract_y
_atom_site_fract_z
_atom_site_occupancy
Dy1 Dy 0.024 0.250 0.128 1
Dy2 Dy 0.181 0.059 0.678 1
Pt1 Pt 0.111 0.750 0.448 1
```

- Density of states at the Fermi level: 15.40 states/eV per cell
- V: 25.9 A^3/atom
- Formation enthalpy at 0 K: -874.6 meV per atom

---

First-principles (SCAN) data for a crystal of TmBiPd2 relaxed with PBEsol, as listed in the Alexandria database.

CIF file:
```
data_TmBiPd2
_chemical_formula_sum 'Tm4 Bi4 Pd8'
_space_group_name_H-M_alt 'F m -3 m'
_space_group_IT_number 225
_space_group_name_Hall '-F 4 2 3'
_cell_length_a 6.778
_cell_length_b 6.778
_cell_length_c 6.778
_cell_angle_alpha 90.00
_cell_angle_beta 90.00
_cell_angle_gamma 90.00
loop_
_atom_site_label
_atom_site_type_symbol
_atom_site_fract_x
_atom_site_fract_y
_atom_site_fract_z
_atom_site_occupancy
Tm1 Tm 0.000 0.000 0.000 1
Bi1 Bi 0.000 0.000 0.500 1
Pd1 Pd 0.250 0.250 0.250 1
```

- Density of states at the Fermi level: 4.07 states/eV per cell
- V: 19.5 A^3/atom
- Formation enthalpy at 0 K: -793.4 meV per atom

---

First-principles (SCAN) data for a crystal of Sb5Au relaxed with PBEsol, as listed in the Alexandria database.

CIF file:
```
data_Sb5Au
_chemical_formula_sum 'Sb5 Au1'
_space_group_name_H-M_alt 'P 4/m m m'
_space_group_IT_number 123
_space_group_name_Hall '-P 4 2'
_cell_length_a 3.154
_cell_length_b 3.154
_cell_length_c 14.935
_cell_angle_alpha 90.00
_cell_angle_beta 90.00
_cell_angle_gamma 90.00
loop_
_atom_site_label
_atom_site_type_symbol
_atom_site_fract_x
_atom_site_fract_y
_atom_site_fract_z
_atom_site_occupancy
Sb1 Sb 0.000 0.000 0.000 1
Sb2 Sb 0.000 0.000 0.361 1
Sb3 Sb 0.500 0.500 0.178 1
Au1 Au 0.500 0.500 0.500 1
```

- Density of states at the Fermi level: 4.03 states/eV per cell
- V: 24.8 A^3/atom
- E above lowest polymorph: 0 meV per atom
- Raw formation energy: 286 meV/atom

---

First-principles (SCAN) data for a crystal of Be2CrW relaxed with PBEsol, as listed in the Alexandria database.

CIF file:
```
data_Be2CrW
_chemical_formula_sum 'Be6 Cr3 W3'
_space_group_name_H-M_alt 'R 3 m'
_space_group_IT_number 160
_space_group_name_Hall 'R 3 -2"'
_cell_length_a 2.5982
_cell_length_b 2.5982
_cell_length_c 24.3901
_cell_angle_alpha 90.00
_cell_angle_beta 90.00
_cell_angle_gamma 120.00
loop_
_atom_site_label
_atom_site_type_symbol
_atom_site_fract_x
_atom_site_fract_y
_atom_site_fract_z
_atom_site_occupancy
Be1 Be 0.0000 0.0000 0.0000 1
Be2 Be 0.0000 0.0000 0.2590 1
Cr1 Cr 0.0000 0.0000 0.5141 1
W1 W 0.0000 0.0000 0.7534 1
```

- Density of states at the Fermi level: 6.71 states/eV per cell
- V: 11.9 A^3/atom
- E above lowest polymorph: 344 meV per atom
- Formation enthalpy at 0 K: 467.0 meV per atom

---

First-principles (SCAN) data for a crystal of Sc2Ga2Rh relaxed with PBEsol, as listed in the Alexandria database.

CIF file:
```
data_Sc2Ga2Rh
_chemical_formula_sum 'Sc4 Ga4 Rh2'
_space_group_name_H-M_alt 'P 4/m b m'
_space_group_IT_number 127
_space_group_name_Hall '-P 4 2ab'
_cell_length_a 6.644
_cell_length_b 6.644
_cell_length_c 3.871
_cell_angle_alpha 90.00
_cell_angle_beta 90.00
_cell_angle_gamma 90.00
loop_
_atom_site_label
_atom_site_type_symbol
_atom_site_fract_x
_atom_site_fract_y
_atom_site_fract_z
_atom_site_occupancy
Sc1 Sc 0.173 0.327 0.000 1
Ga1 Ga 0.133 0.633 0.500 1
Rh1 Rh 0.000 0.000 0.500 1
```

- Density of states at the Fermi level: 5.32 states/eV per cell
- V: 17.1 A^3/atom
- Formation enthalpy at 0 K: -854.5 meV per atom

---

First-principles (SCAN) data for a crystal of SrTaPd2Pt relaxed with PBEsol, as listed in the Alexandria database.

CIF file:
```
data_SrTaPd2Pt
_chemical_formula_sum 'Sr1 Ta1 Pd2 Pt1'
_space_group_name_H-M_alt 'P 4/m m m'
_space_group_IT_number 123
_space_group_name_Hall '-P 4 2'
_cell_length_a 4.685
_cell_length_b 4.685
_cell_length_c 5.664
_cell_angle_alpha 90.00
_cell_angle_beta 90.00
_cell_angle_gamma 90.00
loop_
_atom_site_label
_atom_site_type_symbol
_atom_site_fract_x
_atom_site_fract_y
_atom_site_fract_z
_atom_site_occupancy
Sr1 Sr 0.000 0.000 0.000 1
Ta1 Ta 0.000 0.000 0.500 1
Pd1 Pd 0.000 0.500 0.500 1
Pt1 Pt 0.500 0.500 0.000 1
```

- Density of states at the Fermi level: 3.93 states/eV per cell
- V: 24.9 A^3/atom
- Formation enthalpy at 0 K: 1139.9 meV per atom

---

First-principles (SCAN) data for a crystal of Ca3Ta relaxed with PBEsol, as listed in the Alexandria database.

CIF file:
```
data_Ca3Ta
_chemical_formula_sum 'Ca3 Ta1'
_space_group_name_H-M_alt 'P m -3 m'
_space_group_IT_number 221
_space_group_name_Hall '-P 4 2 3'
_cell_length_a 4.937
_cell_length_b 4.937
_cell_length_c 4.937
_cell_angle_alpha 90.00
_cell_angle_beta 90.00
_cell_angle_gamma 90.00
loop_
_atom_site_label
_atom_site_type_symbol
_atom_site_fract_x
_atom_site_fract_y
_atom_site_fract_z
_atom_site_occupancy
Ca1 Ca 0.000 0.000 0.500 1
Ta1 Ta 0.500 0.500 0.500 1
```

- Density of states at the Fermi level: 1.26 states/eV per cell
- V: 30.1 A^3/atom
- Formation enthalpy at 0 K: 783.2 meV per atom